Run A
{"formula": "PuPd2Pb2", "functional": "GGA-PBE", "state": "relaxed", "sg": "P2_1/m", "cell": [[4.9503, 0.0000, 0.0000], [0.0000, 4.8598, 0.0000], [-0.0647, 0.0000, 10.1408]], "species": ["Pu", "Pu", "Pd", "Pd", "Pd", "Pd", "Pb", "Pb", "Pb", "Pb"], "frac_coords": [[0.2490, 0.2500, 0.3258], [0.7510, 0.7500, 0.6742], [0.2481, 0.7500, 0.4910], [0.2518, 0.7500, 0.8323], [0.7482, 0.2500, 0.1677], [0.7519, 0.2500, 0.5090], [0.2487, 0.2500, 0.9925], [0.2526, 0.2500, 0.6672], [0.7474, 0.7500, 0.3328], [0.7513, 0.7500, 0.0075]]}


Run B
{"formula": "PuPd2Pb2", "functional": "GGA-PBE", "state": "relaxed", "sg": "P2_1/m", "cell": [[5.2894, 0.0000, 0.0000], [0.0000, 4.5442, 0.0000], [-1.7524, 0.0000, 10.1747]], "species": ["Pu", "Pu", "Pd", "Pd", "Pd", "Pd", "Pb", "Pb", "Pb", "Pb"], "frac_coords": [[0.1236, 0.2500, 0.2802], [0.8764, 0.7500, 0.7198], [0.1610, 0.7500, 0.4882], [0.1833, 0.2500, 0.8635], [0.8167, 0.7500, 0.1365], [0.8390, 0.2500, 0.5118], [0.2809, 0.7500, 0.0349], [0.3823, 0.2500, 0.6294], [0.6177, 0.7500, 0.3706], [0.7191, 0.2500, 0.9651]]}


Stability check: which of them is least stable? run B.


Run A
{"formula": "PuPdPb2", "functional": "GGA-PBE", "state": "relaxed", "sg": "P4/mmm", "cell": [[3.4904, 0.0000, 0.0000], [0.0000, 3.4904, 0.0000], [0.0000, 0.0000, 7.9266]], "species": ["Pu", "Pd", "Pb", "Pb"], "frac_coords": [[0.0000, 0.0000, 0.0000], [0.0000, 0.0000, 0.5000], [0.5000, 0.5000, 0.2881], [0.5000, 0.5000, 0.7119]]}


Run B
{"formula": "PuPdPb2", "functional": "GGA-PBE", "state": "relaxed", "sg": "P4/mmm", "cell": [[4.6428, 0.0000, 0.0000], [0.0000, 4.6428, 0.0000], [0.0000, 0.0000, 4.5841]], "species": ["Pu", "Pd", "Pb", "Pb"], "frac_coords": [[0.0000, 0.0000, 0.0000], [0.5000, 0.5000, 0.0000], [0.0000, 0.5000, 0.5000], [0.5000, 0.0000, 0.5000]]}


Run C
{"formula": "PuPdPb2", "functional": "GGA-PBE", "state": "relaxed", "sg": "I4/mmm", "cell": [[-2.4191, 2.4191, 8.4995], [2.4191, -2.4191, 8.4995], [2.4191, 2.4191, -8.4995]], "species": ["Pu", "Pu", "Pd", "Pd", "Pb", "Pb", "Pb", "Pb"], "frac_coords": [[0.1373, 0.1373, 0.0000], [0.8627, 0.8627, 0.0000], [0.2500, 0.7500, 0.5000], [0.7500, 0.2500, 0.5000], [0.0000, 0.5000, 0.5000], [0.3467, 0.3467, 0.0000], [0.5000, 0.0000, 0.5000], [0.6533, 0.6533, 0.0000]]}


Run D
{"formula": "PuPdPb2", "functional": "GGA-PBE", "state": "relaxed", "sg": "R3m", "cell": [[2.4112, 1.3921, 5.3557], [-2.4112, 1.3921, 5.3557], [0.0000, -2.7842, 5.3557]], "species": ["Pu", "Pd", "Pb", "Pb"], "frac_coords": [[0.0000, 0.0000, 0.0000], [0.8106, 0.8106, 0.8106], [0.2202, 0.2202, 0.2202], [0.4391, 0.4391, 0.4391]]}


Stability check: which of them is least stable? run D.


Run A
{"formula": "PuPdPb2", "functional": "GGA-PBE", "state": "relaxed", "sg": "Fm-3m", "cell": [[0.0000, 3.6577, 3.6577], [3.6577, 0.0000, 3.6577], [3.6577, 3.6577, 0.0000]], "species": ["Pu", "Pd", "Pb", "Pb"], "frac_coords": [[0.0000, 0.0000, 0.0000], [0.5000, 0.5000, 0.5000], [0.2500, 0.2500, 0.2500], [0.7500, 0.7500, 0.7500]]}


Run B
{"formula": "PuPdPb2", "functional": "GGA-PBE", "state": "relaxed", "sg": "R-3m", "cell": [[1.6973, 0.9799, 10.7590], [-1.6973, 0.9799, 10.7590], [0.0000, -1.9598, 10.7590]], "species": ["Pu", "Pd", "Pb", "Pb"], "frac_coords": [[0.0000, 0.0000, 0.0000], [0.5000, 0.5000, 0.5000], [0.1011, 0.1011, 0.1011], [0.8989, 0.8989, 0.8989]]}


Stability check: which of them is least stable? run B.


Run A
{"formula": "Pu2Pd3Pb", "functional": "GGA-PBE", "state": "relaxed", "sg": "Cmcm", "cell": [[4.7708, -4.8543, 0.0000], [4.7708, 4.8543, 0.0000], [0.0000, 0.0000, 5.5360]], "species": ["Pu", "Pu", "Pu", "Pu", "Pd", "Pd", "Pd", "Pd", "Pd", "Pd", "Pb", "Pb"], "frac_coords": [[0.0855, 0.6090, 0.7500], [0.3910, 0.9145, 0.7500], [0.6090, 0.0855, 0.2500], [0.9145, 0.3910, 0.2500], [0.0792, 0.9208, 0.2500], [0.2563, 0.2563, 0.0000], [0.2563, 0.2563, 0.5000], [0.7437, 0.7437, 0.0000], [0.7437, 0.7437, 0.5000], [0.9208, 0.0792, 0.7500], [0.3799, 0.6201, 0.2500], [0.6201, 0.3799, 0.7500]]}


Run B
{"formula": "Pu2Pd3Pb", "functional": "GGA-PBE", "state": "relaxed", "sg": "R-3m", "cell": [[2.8360, 1.6374, 4.5255], [-2.8360, 1.6374, 4.5255], [0.0000, -3.2748, 4.5255]], "species": ["Pu", "Pu", "Pd", "Pd", "Pd", "Pb"], "frac_coords": [[0.1158, 0.1158, 0.1158], [0.8842, 0.8842, 0.8842], [0.0000, 0.5000, 0.5000], [0.5000, 0.0000, 0.5000], [0.5000, 0.5000, 0.0000], [0.5000, 0.5000, 0.5000]]}


Stability check: which of them is least stable? run A.


Run A
{"formula": "PuPd6Pb", "functional": "GGA-PBE", "state": "relaxed", "sg": "P-6m2", "cell": [[5.8511, 0.0000, 0.0000], [-2.9256, 5.0672, 0.0000], [0.0000, 0.0000, 4.7729]], "species": ["Pu", "Pd", "Pd", "Pd", "Pd", "Pd", "Pd", "Pb"], "frac_coords": [[0.0000, 0.0000, 0.0000], [0.0061, 0.5031, 0.0000], [0.1709, 0.3419, 0.5000], [0.1709, 0.8291, 0.5000], [0.4969, 0.5031, 0.0000], [0.4969, 0.9939, 0.0000], [0.6581, 0.8291, 0.5000], [0.6667, 0.3333, 0.5000]]}


Run B
{"formula": "PuPd6Pb", "functional": "GGA-PBE", "state": "relaxed", "sg": "P4/mmm", "cell": [[4.1366, 0.0000, 0.0000], [0.0000, 4.1366, 0.0000], [0.0000, 0.0000, 8.2481]], "species": ["Pu", "Pd", "Pd", "Pd", "Pd", "Pd", "Pd", "Pb"], "frac_coords": [[0.0000, 0.0000, 0.0000], [0.0000, 0.5000, 0.2493], [0.0000, 0.5000, 0.7507], [0.5000, 0.0000, 0.2493], [0.5000, 0.0000, 0.7507], [0.5000, 0.5000, 0.0000], [0.5000, 0.5000, 0.5000], [0.0000, 0.0000, 0.5000]]}


Stability check: which of them is least stable? run A.


Run A
{"formula": "RbPd3Pb", "functional": "GGA-PBE", "state": "relaxed", "sg": "Pm-3m", "cell": [[5.1669, 0.0000, 0.0000], [0.0000, 5.1669, 0.0000], [0.0000, 0.0000, 5.1669]], "species": ["Rb", "Pd", "Pd", "Pd", "Pb"], "frac_coords": [[0.0000, 0.0000, 0.0000], [0.0000, 0.0000, 0.5000], [0.0000, 0.5000, 0.0000], [0.5000, 0.0000, 0.0000], [0.5000, 0.5000, 0.5000]]}


Run B
{"formula": "RbPd3Pb", "functional": "GGA-PBE", "state": "relaxed", "sg": "Pm-3m", "cell": [[5.2461, 0.0000, 0.0000], [0.0000, 5.2461, 0.0000], [0.0000, 0.0000, 5.2461]], "species": ["Rb", "Pd", "Pd", "Pd", "Pb"], "frac_coords": [[0.0000, 0.0000, 0.0000], [0.0000, 0.5000, 0.5000], [0.5000, 0.0000, 0.5000], [0.5000, 0.5000, 0.0000], [0.5000, 0.5000, 0.5000]]}


Stability check: which of them is least stable? run A.


Run A
{"formula": "Rb2Pd2Pb", "functional": "GGA-PBE", "state": "relaxed", "sg": "I4/mmm", "cell": [[-2.3044, 2.3044, 7.1867], [2.3044, -2.3044, 7.1867], [2.3044, 2.3044, -7.1867]], "species": ["Rb", "Rb", "Pd", "Pd", "Pb"], "frac_coords": [[0.2500, 0.7500, 0.5000], [0.7500, 0.2500, 0.5000], [0.0899, 0.0899, 0.0000], [0.9101, 0.9101, 0.0000], [0.5000, 0.5000, 0.0000]]}


Run B
{"formula": "Rb2Pd2Pb", "functional": "GGA-PBE", "state": "relaxed", "sg": "P4/mbm", "cell": [[7.2074, 0.0000, 0.0000], [0.0000, 7.2074, 0.0000], [0.0000, 0.0000, 5.7721]], "species": ["Rb", "Rb", "Rb", "Rb", "Pd", "Pd", "Pd", "Pd", "Pb", "Pb"], "frac_coords": [[0.1765, 0.3235, 0.0000], [0.3235, 0.8235, 0.0000], [0.6765, 0.1765, 0.0000], [0.8235, 0.6765, 0.0000], [0.1329, 0.6329, 0.5000], [0.3671, 0.1329, 0.5000], [0.6329, 0.8671, 0.5000], [0.8671, 0.3671, 0.5000], [0.0000, 0.0000, 0.5000], [0.5000, 0.5000, 0.5000]]}


Stability check: which of them is least stable? run A.


Run A
{"formula": "RbPd3Pb3", "functional": "GGA-PBE", "state": "relaxed", "sg": "Pm-3n", "cell": [[7.6565, 0.0000, 0.0000], [0.0000, 7.6565, 0.0000], [0.0000, 0.0000, 7.6565]], "species": ["Rb", "Rb", "Pd", "Pd", "Pd", "Pd", "Pd", "Pd", "Pb", "Pb", "Pb", "Pb", "Pb", "Pb"], "frac_coords": [[0.0000, 0.0000, 0.0000], [0.5000, 0.5000, 0.5000], [0.0000, 0.2500, 0.5000], [0.0000, 0.7500, 0.5000], [0.2500, 0.5000, 0.0000], [0.5000, 0.0000, 0.2500], [0.5000, 0.0000, 0.7500], [0.7500, 0.5000, 0.0000], [0.0000, 0.5000, 0.2500], [0.0000, 0.5000, 0.7500], [0.2500, 0.0000, 0.5000], [0.5000, 0.2500, 0.0000], [0.5000, 0.7500, 0.0000], [0.7500, 0.0000, 0.5000]]}


Run B
{"formula": "RbPd3Pb3", "functional": "GGA-PBE", "state": "relaxed", "sg": "R-3", "cell": [[3.5936, 2.0748, 9.1324], [-3.5936, 2.0748, 9.1324], [0.0000, -4.1496, 9.1324]], "species": ["Rb", "Rb", "Pd", "Pd", "Pd", "Pd", "Pd", "Pd", "Pb", "Pb", "Pb", "Pb", "Pb", "Pb"], "frac_coords": [[0.1829, 0.1829, 0.1829], [0.8171, 0.8171, 0.8171], [0.0857, 0.2811, 0.5450], [0.2811, 0.5450, 0.0857], [0.4550, 0.9143, 0.7189], [0.5450, 0.0857, 0.2811], [0.7189, 0.4550, 0.9143], [0.9143, 0.7189, 0.4550], [0.1712, 0.3289, 0.7096], [0.2904, 0.8288, 0.6711], [0.3289, 0.7096, 0.1712], [0.6711, 0.2904, 0.8288], [0.7096, 0.1712, 0.3289], [0.8288, 0.6711, 0.2904]]}


Stability check: which of them is least stable? run A.


Run A
{"formula": "RbPd2Pb8", "functional": "GGA-PBE", "state": "relaxed", "sg": "P4/mmm", "cell": [[6.7295, 0.0000, 0.0000], [0.0000, 6.7295, 0.0000], [0.0000, 0.0000, 9.4439]], "species": ["Rb", "Pd", "Pd", "Pb", "Pb", "Pb", "Pb", "Pb", "Pb", "Pb", "Pb"], "frac_coords": [[0.0000, 0.0000, 0.0000], [0.0000, 0.5000, 0.5000], [0.5000, 0.0000, 0.5000], [0.2524, 0.2524, 0.3259], [0.2524, 0.2524, 0.6741], [0.2524, 0.7476, 0.3259], [0.2524, 0.7476, 0.6741], [0.7476, 0.2524, 0.3259], [0.7476, 0.2524, 0.6741], [0.7476, 0.7476, 0.3259], [0.7476, 0.7476, 0.6741]]}


Run B
{"formula": "RbPd2Pb8", "functional": "GGA-PBE", "state": "relaxed", "sg": "C2/m", "cell": [[4.6475, -6.4832, 0.0000], [4.6475, 6.4832, 0.0000], [-0.9734, 0.0000, 5.5335]], "species": ["Rb", "Pd", "Pd", "Pb", "Pb", "Pb", "Pb", "Pb", "Pb", "Pb", "Pb"], "frac_coords": [[0.0000, 0.0000, 0.0000], [0.3130, 0.6870, 0.5000], [0.6870, 0.3130, 0.5000], [0.0812, 0.3529, 0.6216], [0.2706, 0.7294, 0.0000], [0.3529, 0.0812, 0.6216], [0.3893, 0.3893, 0.2194], [0.6107, 0.6107, 0.7806], [0.6471, 0.9188, 0.3784], [0.7294, 0.2706, 0.0000], [0.9188, 0.6471, 0.3784]]}


Stability check: which of them is least stable? run A.


Run A
{"formula": "Rb2SiPdPb", "functional": "GGA-PBE", "state": "relaxed", "sg": "P4/mmm", "cell": [[7.0553, 0.0000, 0.0000], [0.0000, 7.0553, 0.0000], [0.0000, 0.0000, 5.1153]], "species": ["Rb", "Rb", "Si", "Pd", "Pb"], "frac_coords": [[0.0000, 0.5000, 0.0000], [0.5000, 0.0000, 0.0000], [0.0000, 0.0000, 0.5000], [0.5000, 0.5000, 0.5000], [0.0000, 0.0000, 0.0000]]}


Run B
{"formula": "Rb2SiPdPb", "functional": "GGA-PBE", "state": "relaxed", "sg": "P4/mmm", "cell": [[6.2598, 0.0000, 0.0000], [0.0000, 6.2598, 0.0000], [0.0000, 0.0000, 5.2825]], "species": ["Rb", "Rb", "Si", "Pd", "Pb"], "frac_coords": [[0.0000, 0.5000, 0.0000], [0.5000, 0.0000, 0.0000], [0.0000, 0.0000, 0.5000], [0.5000, 0.5000, 0.0000], [0.5000, 0.5000, 0.5000]]}


Stability check: which of them is least stable? run A.


Run A
{"formula": "RbTl2PdPb", "functional": "GGA-PBE", "state": "relaxed", "sg": "Pmma", "cell": [[5.9112, 0.0000, 0.0000], [0.0000, 8.2242, 0.0000], [0.0000, 0.0000, 6.6257]], "species": ["Rb", "Rb", "Tl", "Tl", "Tl", "Tl", "Pd", "Pd", "Pb", "Pb"], "frac_coords": [[0.2500, 0.0000, 0.2367], [0.7500, 0.0000, 0.7633], [0.2500, 0.2678, 0.7351], [0.2500, 0.7322, 0.7351], [0.7500, 0.2678, 0.2649], [0.7500, 0.7322, 0.2649], [0.0000, 0.5000, 0.5000], [0.5000, 0.5000, 0.5000], [0.2500, 0.5000, 0.1354], [0.7500, 0.5000, 0.8646]]}


Run B
{"formula": "RbTl2PdPb", "functional": "GGA-PBE", "state": "relaxed", "sg": "P4/mmm", "cell": [[5.4912, 0.0000, 0.0000], [0.0000, 5.4912, 0.0000], [0.0000, 0.0000, 5.5808]], "species": ["Rb", "Tl", "Tl", "Pd", "Pb"], "frac_coords": [[0.0000, 0.0000, 0.0000], [0.0000, 0.5000, 0.5000], [0.5000, 0.0000, 0.5000], [0.5000, 0.5000, 0.5000], [0.5000, 0.5000, 0.0000]]}


Stability check: which of them is least stable? run B.